Compound: ScPbF2
Source: Alexandria via LeMat-Bulk
Functional: PBE
Structure: optimized geometry

Total magnetization ... 0.9 μB/f.u.
Uncorrected formation energy ... -2.28 eV per atom
Energy ... -5.72 eV per atom
Energy above the lowest structure with this stoichiometry ... 0.0 meV/atom

a = 3.3577 Å, b = 3.3577 Å, c = 27.4124 Å
α = 90.00°, β = 90.00°, γ = 120.00°
Closest atoms and distances in Å follow each position.
Atoms (fractional coordinates):
Sc1 0.0000 0.0000 0.0000  6 F 2.18
Sc2 0.3333 0.6667 0.6667  6 F 2.18
Sc3 0.6667 0.3333 0.3333  6 F 2.18
Pb1 0.0000 0.0000 0.5000  6 Pb 3.36, 2 F 3.56
Pb2 0.3333 0.6667 0.1667  6 Pb 3.36, 2 F 3.56
Pb3 0.6667 0.3333 0.8333  6 Pb 3.36, 2 F 3.56
F1 0.0000 0.0000 0.3700  3 Sc 2.18
F2 0.0000 0.0000 0.6300  3 Sc 2.18
F3 0.3333 0.6667 0.0366  3 Sc 2.18
F4 0.3333 0.6667 0.2967  3 Sc 2.18
F5 0.6667 0.3333 0.7033  3 Sc 2.18
F6 0.6667 0.3333 0.9634  3 Sc 2.18